1.
{"formula": "BiH3Pd", "functional": "PBE-GGA", "state": "relaxed", "lattice_angstrom": [[4.109, 0.000, 0.000], [0.000, 4.109, 0.000], [0.000, 0.000, 4.109]], "species": ["Bi", "H", "H", "H", "Pd"], "frac_coords": [[0.000, 0.000, 0.000], [0.000, 0.000, 0.500], [0.000, 0.500, 0.000], [0.500, 0.000, 0.000], [0.500, 0.500, 0.500]], "dft_energy_ev_per_cell": -15.26, "volume_a3_per_atom": 13.9, "polymorph_energy_ev_per_atom": 0.4336}

---

2.
{"formula": "SrSb3Pt", "functional": "PBE-GGA", "state": "relaxed", "lattice_angstrom": [[5.385, 0.000, 0.000], [0.000, 5.385, 0.000], [0.000, 0.000, 5.385]], "species": ["Sr", "Sb", "Sb", "Sb", "Pt"], "frac_coords": [[0.000, 0.000, 0.000], [0.000, 0.500, 0.500], [0.500, 0.000, 0.500], [0.500, 0.500, 0.000], [0.500, 0.500, 0.500]], "dft_energy_ev_per_cell": -20.98, "volume_a3_per_atom": 31.2, "polymorph_energy_ev_per_atom": 0.3578}